No. 1
# LaV

A geometry-optimized LaV structure (GGA-PBE, Alexandria).

**DFT formation energy**: 1.77 eV per atom
**Polymorph energy (0 for the lowest one)**: 132.0 kJ/mol of atoms
**Total DFT energy (no corrections)**: -41.99 eV for the cell shown

Lattice parameters (Å, degrees): 6.4844 6.4844 6.4844 90.00 90.00 90.00
Space group F-43m (No. 216)
One atom of each set of equivalent atoms:
La 0.0000 0.0000 0.0000 (multiplicity 4)
V 0.2500 0.2500 0.2500 (multiplicity 4)

=====

No. 2
# LaV

A geometry-optimized LaV structure (GGA-PBE, Alexandria).

**DFT formation energy**: 0.41 eV per atom
**Polymorph energy (0 for the lowest one)**: 0.0 kJ/mol of atoms
**Total DFT energy (no corrections)**: -79.39 eV for the cell shown

Lattice parameters (Å, degrees): 8.0116 8.0116 5.4201 90.00 90.00 120.00
Space group P6_3/mmc (No. 194)
One atom of each set of equivalent atoms:
La 0.1691 0.3381 0.2500 (multiplicity 6)
V 0.1408 0.5704 0.7500 (multiplicity 6)

=====

No. 3
# La4V

A geometry-optimized La4V structure (GGA-PBE, Alexandria).

**DFT formation energy**: 0.39 eV per atom
**Total DFT energy (no corrections)**: -26.87 eV for the cell shown

Lattice parameters (Å, degrees): 5.5773 5.5773 5.5773 90.00 90.00 90.00
Space group Pm-3m (No. 221)
One atom of each set of equivalent atoms:
La 0.0000 0.0000 0.0000 (multiplicity 1)
La 0.0000 0.5000 0.5000 (multiplicity 3)
V 0.5000 0.5000 0.5000 (multiplicity 1)